# 1
# NiPbN2O

A PBEsol-optimized structure of NiPbN2O (SCAN, Alexandria).

```
5
Lattice="-2.425 -0.160 2.795 -0.710 -3.542 -0.818 2.999 -1.187 2.534" Properties=species:S:1:pos:R:3 pbc="T T T"
Pb -0.068 -2.444 2.256
Ni 0.000 0.000 0.000
O 1.500 -0.593 1.267
N -0.355 -1.771 -0.409
N -1.212 -0.080 1.398
```

* SG: No. 123
* DOS at the Fermi energy: 1.72 states/eV/cell
* E_form (uncorrected): 566 meV/atom

---

# 2
# NiS2NO

A PBEsol-optimized structure of NiS2NO (SCAN, Alexandria).

```
5
Lattice="3.595 0.000 0.000 0.000 4.063 0.000 0.000 0.000 4.063" Properties=species:S:1:pos:R:3 pbc="T T T"
Ni 1.797 2.032 2.032
S 0.000 0.000 2.032
S 0.000 2.032 0.000
O 0.000 0.000 0.000
N 1.797 0.000 0.000
```

* SG: No. 123
* DOS at the Fermi energy: 3.00 states/eV/cell
* E_form (uncorrected): 1605 meV/atom

---

# 3
# NiSeNO2

A PBEsol-optimized structure of NiSeNO2 (SCAN, Alexandria).

```
5
Lattice="-0.214 -3.484 -0.983 3.613 -0.141 -0.285 0.245 -1.032 3.607" Properties=species:S:1:pos:R:3 pbc="T T T"
Ni 0.000 0.000 0.000
O 1.806 -0.071 -0.143
O -0.107 -1.742 -0.491
Se 1.822 -2.329 1.170
N 0.122 -0.516 1.804
```

* SG: No. 123
* DOS at the Fermi energy: 1.87 states/eV/cell
* E_form (uncorrected): 529 meV/atom

---

# 4
# SrNiNO2

A PBEsol-optimized structure of SrNiNO2 (SCAN, Alexandria).

```
5
Lattice="4.468 0.000 0.000 0.000 4.468 0.000 0.000 0.000 4.705" Properties=species:S:1:pos:R:3 pbc="T T T"
Sr 0.000 0.000 0.000
N 0.000 0.000 2.352
O 0.000 2.234 0.000
O 2.234 0.000 0.000
Ni 2.234 2.234 2.352
```

* SG: No. 123
* DOS at the Fermi energy: 3.87 states/eV/cell
* E_form (uncorrected): 956 meV/atom

---

# 5
# TiNiNO2

A PBEsol-optimized structure of TiNiNO2 (SCAN, Alexandria).

```
5
Lattice="3.759 0.000 0.000 0.000 3.759 0.000 0.000 0.000 3.963" Properties=species:S:1:pos:R:3 pbc="T T T"
Ni 1.879 1.879 1.981
N 0.000 0.000 1.981
O 0.000 1.879 0.000
O 1.879 0.000 0.000
Ti 0.000 0.000 0.000
```

* SG: No. 123
* DOS at the Fermi energy: 4.96 states/eV/cell
* E_form (uncorrected): -782 meV/atom

---

# 6
# TlNiN2O

A PBEsol-optimized structure of TlNiN2O (SCAN, Alexandria).

```
5
Lattice="4.225 0.000 0.000 0.000 4.206 0.000 0.000 0.000 4.206" Properties=species:S:1:pos:R:3 pbc="T T T"
Ni 2.113 2.103 2.103
Tl 0.000 0.000 0.000
O 2.113 0.000 0.000
N 0.000 0.000 2.103
N 0.000 2.103 0.000
```

* SG: No. 123
* DOS at the Fermi energy: 3.23 states/eV/cell
* E_form (uncorrected): 1992 meV/atom

---

> Which of these has the lowest E_form (uncorrected)?

TiNiNO2